No. 1
Compound: La3Pr12Dy
Source: Alexandria via LeMat-Bulk
Functional: PBE-GGA
Structure: relaxed

abc: 5.2478 5.2478 20.9662
angles: 90.00 90.00 90.00
Fractional positions:
1 La 0.0000 0.0000 0.0000
2 La 0.0000 0.0000 0.2510
3 La 0.0000 0.0000 0.7490
4 Pr 0.0000 0.5000 0.1254
5 Pr 0.0000 0.5000 0.3773
6 Pr 0.0000 0.5000 0.6227
7 Pr 0.0000 0.5000 0.8746
8 Pr 0.5000 0.0000 0.1254
9 Pr 0.5000 0.0000 0.3773
10 Pr 0.5000 0.0000 0.6227
11 Pr 0.5000 0.0000 0.8746
12 Pr 0.5000 0.5000 0.0000
13 Pr 0.5000 0.5000 0.2520
14 Pr 0.5000 0.5000 0.5000
15 Pr 0.5000 0.5000 0.7480
16 Dy 0.0000 0.0000 0.5000

Summary:
Space-group type = P4/mmm, No. 123
Crystal system = tetragonal

---

No. 2
Compound: LaPr8Dy6
Source: Alexandria via LeMat-Bulk
Functional: PBE-GGA
Structure: relaxed

abc: 8.8457 8.8457 8.8457
angles: 62.76 62.76 62.76
Fractional positions:
1 La 0.0000 0.0000 0.0000
2 Pr 0.1144 0.7532 0.7147
3 Pr 0.2468 0.2853 0.8856
4 Pr 0.2853 0.8856 0.2468
5 Pr 0.4217 0.4217 0.4217
6 Pr 0.5783 0.5783 0.5783
7 Pr 0.7147 0.1144 0.7532
8 Pr 0.7532 0.7147 0.1144
9 Pr 0.8856 0.2468 0.2853
10 Dy 0.0945 0.2525 0.5347
11 Dy 0.2525 0.5347 0.0945
12 Dy 0.4653 0.9055 0.7475
13 Dy 0.5347 0.0945 0.2525
14 Dy 0.7475 0.4653 0.9055
15 Dy 0.9055 0.7475 0.4653

Summary:
Space-group type = R-3, No. 148
Crystal system = trigonal

---

No. 3
Compound: La2Pr4Dy
Source: Alexandria via LeMat-Bulk
Functional: PBE-GGA
Structure: relaxed

abc: 21.0094 21.0094 21.0094
angles: 10.16 10.16 10.16
Fractional positions:
1 La 0.0945 0.0945 0.0945
2 La 0.9055 0.9055 0.9055
3 Pr 0.1910 0.1910 0.1910
4 Pr 0.3797 0.3797 0.3797
5 Pr 0.6203 0.6203 0.6203
6 Pr 0.8090 0.8090 0.8090
7 Dy 0.0000 0.0000 0.0000

Summary:
Space-group type = R-3m, No. 166
Distance to the lowest polymorph of the same formula = 0.0 meV per atom
Crystal system = trigonal

---

No. 4
Compound: La3Pr8Dy2
Source: Alexandria via LeMat-Bulk
Functional: PBE-GGA
Structure: relaxed

abc: 9.0384 9.0384 6.2845
angles: 106.78 106.78 83.27
Fractional positions:
1 La 0.0000 0.0000 0.0000
2 La 0.2392 0.7608 0.5000
3 La 0.7608 0.2392 0.5000
4 Pr 0.0798 0.5693 0.8235
5 Pr 0.1580 0.1580 0.5451
6 Pr 0.4307 0.9202 0.1765
7 Pr 0.4418 0.4418 0.7087
8 Pr 0.5582 0.5582 0.2913
9 Pr 0.5693 0.0798 0.8235
10 Pr 0.8420 0.8420 0.4549
11 Pr 0.9202 0.4307 0.1765
12 Dy 0.2908 0.2908 0.1356
13 Dy 0.7092 0.7092 0.8644

Summary:
Space-group type = C2/m, No. 12
Distance to the lowest polymorph of the same formula = 0.0 meV per atom
Crystal system = monoclinic

---

No. 5
Compound: La2Pr2Dy
Source: Alexandria via LeMat-Bulk
Functional: PBE-GGA
Structure: relaxed

abc: 8.9051 8.9051 6.4712
angles: 90.00 90.00 133.18
Fractional positions:
1 La 0.0660 0.4014 0.2500
2 La 0.4014 0.0660 0.7500
3 La 0.5986 0.9340 0.2500
4 La 0.9340 0.5986 0.7500
5 Pr 0.1716 0.8284 0.2500
6 Pr 0.4092 0.5908 0.7500
7 Pr 0.5908 0.4092 0.2500
8 Pr 0.8284 0.1716 0.7500
9 Dy 0.0000 0.0000 0.0000
10 Dy 0.0000 0.0000 0.5000

Summary:
Space-group type = Cmcm, No. 63
Distance to the lowest polymorph of the same formula = 227.5 meV per atom
Crystal system = orthorhombic

---

No. 6
Compound: La4Pr11Dy9
Source: Alexandria via LeMat-Bulk
Functional: PBE-GGA
Structure: relaxed

abc: 15.5251 15.5251 3.7620
angles: 90.00 90.00 112.68
Fractional positions:
1 La 0.0543 0.2554 0.0000
2 La 0.2554 0.0543 0.0000
3 La 0.7446 0.9457 0.0000
4 La 0.9457 0.7446 0.0000
5 Pr 0.0935 0.4555 0.5000
6 Pr 0.1348 0.8652 0.5000
7 Pr 0.2114 0.2114 0.5000
8 Pr 0.3414 0.6586 0.5000
9 Pr 0.4555 0.0935 0.5000
10 Pr 0.5000 0.5000 0.5000
11 Pr 0.5445 0.9065 0.5000
12 Pr 0.6586 0.3414 0.5000
13 Pr 0.7886 0.7886 0.5000
14 Pr 0.8652 0.1348 0.5000
15 Pr 0.9065 0.5445 0.5000
16 Dy 0.0000 0.0000 0.0000
17 Dy 0.1363 0.6629 0.0000
18 Dy 0.2898 0.4352 0.0000
19 Dy 0.3371 0.8637 0.0000
20 Dy 0.4352 0.2898 0.0000
21 Dy 0.5648 0.7102 0.0000
22 Dy 0.6629 0.1363 0.0000
23 Dy 0.7102 0.5648 0.0000
24 Dy 0.8637 0.3371 0.0000

Summary:
Space-group type = Cmmm, No. 65
Crystal system = orthorhombic

---

No. 7
Compound: LaPr3Dy2
Source: Alexandria via LeMat-Bulk
Functional: PBE-GGA
Structure: relaxed

abc: 6.8118 6.8118 11.5920
angles: 115.12 115.12 63.33
Fractional positions:
1 La 0.0059 0.9941 0.7500
2 La 0.9941 0.0059 0.2500
3 Pr 0.0842 0.5803 0.9165
4 Pr 0.4197 0.9158 0.5835
5 Pr 0.4955 0.5045 0.7500
6 Pr 0.5045 0.4955 0.2500
7 Pr 0.5803 0.0842 0.4165
8 Pr 0.9158 0.4197 0.0835
9 Dy 0.0831 0.5841 0.4183
10 Dy 0.4159 0.9169 0.0817
11 Dy 0.5841 0.0831 0.9183
12 Dy 0.9169 0.4159 0.5817

Summary:
Space-group type = C2/c, No. 15
Distance to the lowest polymorph of the same formula = 0.0 meV per atom
Crystal system = monoclinic

---

No. 8
Compound: La5PrDy2
Source: Alexandria via LeMat-Bulk
Functional: PBE-GGA
Structure: relaxed

abc: 6.2609 6.2609 18.9881
angles: 90.00 90.00 129.86
Fractional positions:
1 La 0.0511 0.9489 0.5841
2 La 0.0511 0.9489 0.9159
3 La 0.3446 0.6554 0.5370
4 La 0.3446 0.6554 0.9630
5 La 0.4276 0.5724 0.7500
6 La 0.5724 0.4276 0.2500
7 La 0.6554 0.3446 0.0370
8 La 0.6554 0.3446 0.4630
9 La 0.9489 0.0511 0.0841
10 La 0.9489 0.0511 0.4159
11 Pr 0.1236 0.8764 0.7500
12 Pr 0.8764 0.1236 0.2500
13 Dy 0.2544 0.7456 0.1559
14 Dy 0.2544 0.7456 0.3441
15 Dy 0.7456 0.2544 0.6559
16 Dy 0.7456 0.2544 0.8441

Summary:
Space-group type = Cmcm, No. 63
Distance to the lowest polymorph of the same formula = 61.3 meV per atom
Crystal system = orthorhombic

---

No. 9
Compound: La3Pr2Dy6
Source: Alexandria via LeMat-Bulk
Functional: PBE-GGA
Structure: relaxed

abc: 6.2477 6.2477 11.7768
angles: 95.10 95.10 120.15
Fractional positions:
1 La 0.0000 0.0000 0.0000
2 La 0.3360 0.6640 0.0000
3 La 0.6640 0.3360 0.0000
4 Pr 0.1663 0.8337 0.5000
5 Pr 0.8337 0.1663 0.5000
6 Dy 0.0845 0.4172 0.2517
7 Dy 0.2503 0.2503 0.7489
8 Dy 0.4172 0.0845 0.2517
9 Dy 0.5828 0.9155 0.7483
10 Dy 0.7497 0.7497 0.2511
11 Dy 0.9155 0.5828 0.7483

Summary:
Space-group type = C2/m, No. 12
Crystal system = monoclinic

---

No. 10
Compound: La5Pr4Dy2
Source: Alexandria via LeMat-Bulk
Functional: PBE-GGA
Structure: relaxed

abc: 9.1560 3.5868 12.0492
angles: 90.00 94.50 90.00
Fractional positions:
1 La 0.0000 0.0000 0.0000
2 La 0.0693 0.0000 0.2913
3 La 0.3028 0.0000 0.8313
4 La 0.6972 0.0000 0.1687
5 La 0.9307 0.0000 0.7087
6 Pr 0.2171 0.5000 0.5490
7 Pr 0.3439 0.5000 0.1090
8 Pr 0.6561 0.5000 0.8910
9 Pr 0.7829 0.5000 0.4510
10 Dy 0.4429 0.0000 0.3650
11 Dy 0.5571 0.0000 0.6350

Summary:
Space-group type = P2/m, No. 10
Distance to the lowest polymorph of the same formula = 0.0 meV per atom
Crystal system = monoclinic

---

no.,E_form (eV/f.u.),raw total energy (eV/atom),D(E_F) (states/eV/atom)
1,0.17,-4.785,1.681
2,1.87,-4.594,1.540
3,0.06,-4.788,1.527
4,1.78,-4.649,1.826
5,1.29,-4.545,1.580
6,1.72,-4.666,1.317
7,0.33,-4.691,1.518
8,0.72,-4.737,1.501
9,2.00,-4.541,1.341
10,0.80,-4.742,1.667